Model one:
PBE-GGA CoAgOs2, optimized geometry; space-group type = No. 25; calculated density = 15.69 Mg/m³
1.0
2.741 0.000 0.000
0.000 3.798 0.000
0.000 0.000 5.563
Co Ag Os
1 1 2
direct
0.000 0.000 0.000 Co
0.500 0.500 0.748 Ag
0.000 0.000 0.449 Os
0.500 0.500 0.243 Os

=====

Model two:
PBE-GGA CoAgOs2, optimized geometry; space-group type = No. 35; calculated density = 15.36 Mg/m³
1.0
1.384 -2.297 0.000
1.384 2.297 0.000
0.000 0.000 9.308
Co Ag Os
1 1 2
direct
0.000 0.000 0.000 Co
0.500 0.500 0.748 Ag
0.000 0.000 0.471 Os
0.500 0.500 0.228 Os

=====

Energies relative to the minimum, eV/atom: model one 0.000; model two 0.144

=====

Model one:
PBE-GGA CoAgOs2, optimized geometry; space-group type = No. 160; calculated density = 15.74 Mg/m³
1.0
1.364 0.788 8.959
-1.364 0.788 8.959
0.000 -1.575 8.959
Co Ag Os
1 1 2
direct
0.000 0.000 0.000 Co
0.751 0.751 0.751 Ag
0.257 0.257 0.257 Os
0.511 0.511 0.511 Os

=====

Model two:
PBE-GGA CoAgOs2, optimized geometry; space-group type = No. 225; calculated density = 15.97 Mg/m³
1.0
0.000 3.053 3.053
3.053 0.000 3.053
3.053 3.053 0.000
Co Ag Os
1 1 2
direct
0.000 0.000 0.000 Co
0.500 0.500 0.500 Ag
0.250 0.250 0.250 Os
0.750 0.750 0.750 Os

=====

Energies relative to the minimum, eV/atom: model one 0.000; model two 0.590

=====

Model one:
PBE-GGA CoAgOs2, optimized geometry; space-group type = No. 12; calculated density = 15.48 Mg/m³
1.0
2.670 -4.672 0.000
2.670 4.672 0.000
-1.254 0.000 2.353
Co Ag Os
1 1 2
direct
0.000 0.000 0.000 Co
0.500 0.500 0.000 Ag
0.000 0.500 0.500 Os
0.500 0.000 0.500 Os

=====

Model two:
PBE-GGA CoAgOs2, optimized geometry; space-group type = No. 139; calculated density = 16.09 Mg/m³
1.0
-1.873 1.873 4.025
1.873 -1.873 4.025
1.873 1.873 -4.025
Co Ag Os
1 1 2
direct
0.000 0.000 0.000 Co
0.500 0.500 0.000 Ag
0.250 0.750 0.500 Os
0.750 0.250 0.500 Os

=====

Energies relative to the minimum, eV/atom: model one 0.024; model two 0.000